1:
# PBE BeAsOsBr2, relaxed
data_BeAsOsBr2
_chemical_formula_sum 'Be1 As1 Os1 Br2'
_cell_length_a 4.504
_cell_length_b 4.504
_cell_length_c 5.146
_cell_angle_alpha 90.00
_cell_angle_beta 90.00
_cell_angle_gamma 90.00
_symmetry_space_group_name_H-M 'P 1'
_symmetry_Int_Tables_number 1
loop_
_symmetry_equiv_pos_as_xyz
'x,y,z'
loop_
_atom_site_label
_atom_site_type_symbol
_atom_site_fract_x
_atom_site_fract_y
_atom_site_fract_z
_atom_site_occupancy
Be1 Be 0.000 0.000 0.000 1
As1 As 0.000 0.000 0.500 1
Os1 Os 0.500 0.500 0.500 1
Br1 Br 0.000 0.500 0.000 1
Br2 Br 0.500 0.000 0.000 1
# - density of states at the Fermi level (states/eV/atom) = 0.77

---

2:
# PBE BeAsOsBr2, relaxed
data_BeAsOsBr2
_chemical_formula_sum 'Be1 As1 Os1 Br2'
_cell_length_a 5.231
_cell_length_b 5.231
_cell_length_c 4.676
_cell_angle_alpha 90.00
_cell_angle_beta 90.00
_cell_angle_gamma 90.00
_symmetry_space_group_name_H-M 'P 1'
_symmetry_Int_Tables_number 1
loop_
_symmetry_equiv_pos_as_xyz
'x,y,z'
loop_
_atom_site_label
_atom_site_type_symbol
_atom_site_fract_x
_atom_site_fract_y
_atom_site_fract_z
_atom_site_occupancy
Be1 Be 0.500 0.500 0.500 1
As1 As 0.000 0.000 0.500 1
Os1 Os 0.000 0.000 0.000 1
Br1 Br 0.000 0.500 0.000 1
Br2 Br 0.500 0.000 0.000 1
# - density of states at the Fermi level (states/eV/atom) = 1.16

---

It is 2 that is most stable; the runner-up trails by 213 meV per atom.

---

1:
# PBE BeAsPBr2, relaxed
data_BeAsPBr2
_chemical_formula_sum 'Be1 As1 P1 Br2'
_cell_length_a 4.544
_cell_length_b 4.544
_cell_length_c 4.992
_cell_angle_alpha 90.00
_cell_angle_beta 90.00
_cell_angle_gamma 90.00
_symmetry_space_group_name_H-M 'P 1'
_symmetry_Int_Tables_number 1
loop_
_symmetry_equiv_pos_as_xyz
'x,y,z'
loop_
_atom_site_label
_atom_site_type_symbol
_atom_site_fract_x
_atom_site_fract_y
_atom_site_fract_z
_atom_site_occupancy
P1 P 0.500 0.500 0.500 1
As1 As 0.000 0.000 0.500 1
Br1 Br 0.000 0.500 0.000 1
Br2 Br 0.500 0.000 0.000 1
Be1 Be 0.000 0.000 0.000 1
# - density of states at the Fermi level (states/eV/atom) = 0.55

---

2:
# PBE BeAsPBr2, relaxed
data_BeAsPBr2
_chemical_formula_sum 'Be1 As1 P1 Br2'
_cell_length_a 5.019
_cell_length_b 5.019
_cell_length_c 4.969
_cell_angle_alpha 90.00
_cell_angle_beta 90.00
_cell_angle_gamma 90.00
_symmetry_space_group_name_H-M 'P 1'
_symmetry_Int_Tables_number 1
loop_
_symmetry_equiv_pos_as_xyz
'x,y,z'
loop_
_atom_site_label
_atom_site_type_symbol
_atom_site_fract_x
_atom_site_fract_y
_atom_site_fract_z
_atom_site_occupancy
P1 P 0.000 0.000 0.000 1
As1 As 0.000 0.000 0.500 1
Br1 Br 0.000 0.500 0.000 1
Br2 Br 0.500 0.000 0.000 1
Be1 Be 0.500 0.500 0.500 1
# - density of states at the Fermi level (states/eV/atom) = 0.52

---

3:
# PBE BeAsPBr2, relaxed
data_BeAsPBr2
_chemical_formula_sum 'Be1 As1 P1 Br2'
_cell_length_a 5.672
_cell_length_b 4.176
_cell_length_c 5.672
_cell_angle_alpha 90.00
_cell_angle_beta 90.00
_cell_angle_gamma 90.00
_symmetry_space_group_name_H-M 'P 1'
_symmetry_Int_Tables_number 1
loop_
_symmetry_equiv_pos_as_xyz
'x,y,z'
loop_
_atom_site_label
_atom_site_type_symbol
_atom_site_fract_x
_atom_site_fract_y
_atom_site_fract_z
_atom_site_occupancy
P1 P 0.500 0.500 0.500 1
As1 As 0.000 0.000 0.000 1
Br1 Br 0.000 0.000 0.500 1
Br2 Br 0.500 0.000 0.000 1
Be1 Be 0.000 0.500 0.000 1
# - density of states at the Fermi level (states/eV/atom) = 0.65

---

It is 1 that is most stable; the runner-up trails by 239 meV per atom.

---

1:
# PBE BeAsPdBr2, relaxed
data_BeAsPdBr2
_chemical_formula_sum 'Be1 As1 Pd1 Br2'
_cell_length_a 4.783
_cell_length_b 4.783
_cell_length_c 4.574
_cell_angle_alpha 90.00
_cell_angle_beta 90.00
_cell_angle_gamma 90.00
_symmetry_space_group_name_H-M 'P 1'
_symmetry_Int_Tables_number 1
loop_
_symmetry_equiv_pos_as_xyz
'x,y,z'
loop_
_atom_site_label
_atom_site_type_symbol
_atom_site_fract_x
_atom_site_fract_y
_atom_site_fract_z
_atom_site_occupancy
Be1 Be 0.000 0.000 0.000 1
As1 As 0.000 0.000 0.500 1
Br1 Br 0.000 0.500 0.000 1
Br2 Br 0.500 0.000 0.000 1
Pd1 Pd 0.500 0.500 0.500 1
# - density of states at the Fermi level (states/eV/atom) = 0.65

---

2:
# PBE BeAsPdBr2, relaxed
data_BeAsPdBr2
_chemical_formula_sum 'Be1 As1 Pd1 Br2'
_cell_length_a 5.161
_cell_length_b 5.161
_cell_length_c 4.907
_cell_angle_alpha 90.00
_cell_angle_beta 90.00
_cell_angle_gamma 90.00
_symmetry_space_group_name_H-M 'P 1'
_symmetry_Int_Tables_number 1
loop_
_symmetry_equiv_pos_as_xyz
'x,y,z'
loop_
_atom_site_label
_atom_site_type_symbol
_atom_site_fract_x
_atom_site_fract_y
_atom_site_fract_z
_atom_site_occupancy
Be1 Be 0.500 0.500 0.500 1
As1 As 0.000 0.000 0.500 1
Br1 Br 0.000 0.500 0.000 1
Br2 Br 0.500 0.000 0.000 1
Pd1 Pd 0.000 0.000 0.000 1
# - density of states at the Fermi level (states/eV/atom) = 0.54

---

It is 1 that is most stable; the runner-up trails by 283 meV per atom.

---

1:
# PBE BeAs2PtBr, relaxed
data_BeAs2PtBr
_chemical_formula_sum 'Be1 As2 Pt1 Br1'
_cell_length_a 4.502
_cell_length_b 4.502
_cell_length_c 4.556
_cell_angle_alpha 90.00
_cell_angle_beta 90.00
_cell_angle_gamma 90.00
_symmetry_space_group_name_H-M 'P 1'
_symmetry_Int_Tables_number 1
loop_
_symmetry_equiv_pos_as_xyz
'x,y,z'
loop_
_atom_site_label
_atom_site_type_symbol
_atom_site_fract_x
_atom_site_fract_y
_atom_site_fract_z
_atom_site_occupancy
Be1 Be 0.000 0.000 0.000 1
As1 As 0.000 0.500 0.000 1
As2 As 0.500 0.000 0.000 1
Br1 Br 0.000 0.000 0.500 1
Pt1 Pt 0.500 0.500 0.500 1
# - density of states at the Fermi level (states/eV/atom) = 0.64

---

2:
# PBE BeAs2PtBr, relaxed
data_BeAs2PtBr
_chemical_formula_sum 'Be1 As2 Pt1 Br1'
_cell_length_a 4.871
_cell_length_b 4.871
_cell_length_c 5.306
_cell_angle_alpha 90.00
_cell_angle_beta 90.00
_cell_angle_gamma 90.00
_symmetry_space_group_name_H-M 'P 1'
_symmetry_Int_Tables_number 1
loop_
_symmetry_equiv_pos_as_xyz
'x,y,z'
loop_
_atom_site_label
_atom_site_type_symbol
_atom_site_fract_x
_atom_site_fract_y
_atom_site_fract_z
_atom_site_occupancy
Be1 Be 0.500 0.500 0.500 1
As1 As 0.000 0.500 0.000 1
As2 As 0.500 0.000 0.000 1
Br1 Br 0.000 0.000 0.500 1
Pt1 Pt 0.000 0.000 0.000 1
# - density of states at the Fermi level (states/eV/atom) = 1.00

---

It is 1 that is most stable; the runner-up trails by 251 meV per atom.

---

1:
# PBE BeAs2RuBr, relaxed
data_BeAs2RuBr
_chemical_formula_sum 'Be1 As2 Ru1 Br1'
_cell_length_a 4.331
_cell_length_b 4.331
_cell_length_c 4.777
_cell_angle_alpha 90.00
_cell_angle_beta 90.00
_cell_angle_gamma 90.00
_symmetry_space_group_name_H-M 'P 1'
_symmetry_Int_Tables_number 1
loop_
_symmetry_equiv_pos_as_xyz
'x,y,z'
loop_
_atom_site_label
_atom_site_type_symbol
_atom_site_fract_x
_atom_site_fract_y
_atom_site_fract_z
_atom_site_occupancy
Ru1 Ru 0.500 0.500 0.500 1
As1 As 0.000 0.500 0.000 1
As2 As 0.500 0.000 0.000 1
Br1 Br 0.000 0.000 0.500 1
Be1 Be 0.000 0.000 0.000 1
# - density of states at the Fermi level (states/eV/atom) = 0.76

---

2:
# PBE BeAs2RuBr, relaxed
data_BeAs2RuBr
_chemical_formula_sum 'Be1 As2 Ru1 Br1'
_cell_length_a 4.703
_cell_length_b 4.703
_cell_length_c 5.365
_cell_angle_alpha 90.00
_cell_angle_beta 90.00
_cell_angle_gamma 90.00
_symmetry_space_group_name_H-M 'P 1'
_symmetry_Int_Tables_number 1
loop_
_symmetry_equiv_pos_as_xyz
'x,y,z'
loop_
_atom_site_label
_atom_site_type_symbol
_atom_site_fract_x
_atom_site_fract_y
_atom_site_fract_z
_atom_site_occupancy
Ru1 Ru 0.000 0.000 0.000 1
As1 As 0.000 0.500 0.000 1
As2 As 0.500 0.000 0.000 1
Br1 Br 0.000 0.000 0.500 1
Be1 Be 0.500 0.500 0.500 1
# - density of states at the Fermi level (states/eV/atom) = 0.92

---

It is 2 that is most stable; the runner-up trails by 65 meV per atom.

---

1:
# PBE BeAs2SeBr, relaxed
data_BeAs2SeBr
_chemical_formula_sum 'Be1 As2 Se1 Br1'
_cell_length_a 5.074
_cell_length_b 5.074
_cell_length_c 5.375
_cell_angle_alpha 90.00
_cell_angle_beta 90.00
_cell_angle_gamma 90.00
_symmetry_space_group_name_H-M 'P 1'
_symmetry_Int_Tables_number 1
loop_
_symmetry_equiv_pos_as_xyz
'x,y,z'
loop_
_atom_site_label
_atom_site_type_symbol
_atom_site_fract_x
_atom_site_fract_y
_atom_site_fract_z
_atom_site_occupancy
Be1 Be 0.500 0.500 0.500 1
As1 As 0.000 0.500 0.000 1
As2 As 0.500 0.000 0.000 1
Se1 Se 0.000 0.000 0.000 1
Br1 Br 0.000 0.000 0.500 1
# - density of states at the Fermi level (states/eV/atom) = 0.96

---

2:
# PBE BeAs2SeBr, relaxed
data_BeAs2SeBr
_chemical_formula_sum 'Be1 As2 Se1 Br1'
_cell_length_a 4.763
_cell_length_b 4.763
_cell_length_c 4.401
_cell_angle_alpha 90.00
_cell_angle_beta 90.00
_cell_angle_gamma 90.00
_symmetry_space_group_name_H-M 'P 1'
_symmetry_Int_Tables_number 1
loop_
_symmetry_equiv_pos_as_xyz
'x,y,z'
loop_
_atom_site_label
_atom_site_type_symbol
_atom_site_fract_x
_atom_site_fract_y
_atom_site_fract_z
_atom_site_occupancy
Be1 Be 0.000 0.000 0.000 1
As1 As 0.000 0.500 0.000 1
As2 As 0.500 0.000 0.000 1
Se1 Se 0.500 0.500 0.500 1
Br1 Br 0.000 0.000 0.500 1
# - density of states at the Fermi level (states/eV/atom) = 0.45

---

It is 2 that is most stable; the runner-up trails by 731 meV per atom.